[1]
Sr2Ga2Ge2N: relaxed, GGA-PBE.

Properties
- VASP energy: -29.94 eV for the cell shown
- Spin magnetization: 0.0 μB/cell
- Uncorrected formation energy: -0.4230 eV/atom
- SG: No. 2
- Mass density: 5.19 g/cm³

Unit cell a=3.801 b=6.010 c=7.473 alpha=109.59 beta=90.17 gamma=108.16
Fractional coordinates of all 7 atoms:
Sr (0.012, 0.027, 0.255)
Sr (0.988, 0.973, 0.745)
Ga (0.315, 0.626, 0.378)
Ga (0.685, 0.374, 0.622)
Ge (0.293, 0.588, 0.920)
Ge (0.707, 0.412, 0.080)
N (0.500, 0.000, 0.500)

---

[2]
CrTcRh: relaxed, GGA-PBE.

Properties
- VASP energy: -54.42 eV for the cell shown
- Spin magnetization: 0.0 μB/cell
- Energy of formation from the pure elements: 0.044 eV per atom
- SG: No. 107
- Mass density: 10.33 g/cm³

Unit cell a=2.680 b=2.680 c=11.317 alpha=90.00 beta=90.00 gamma=90.00
Fractional coordinates of all 6 atoms:
Cr (0.000, 0.000, 0.000)
Cr (0.500, 0.500, 0.500)
Tc (0.000, 0.000, 0.662)
Tc (0.500, 0.500, 0.162)
Rh (0.000, 0.000, 0.339)
Rh (0.500, 0.500, 0.839)

---

[3]
LaAgBrO2: relaxed, GGA-PBE.

Properties
- VASP energy: -55.75 eV for the cell shown
- Spin magnetization: 0.4 μB/cell
- Uncorrected formation energy: -1.7014 eV/atom
- SG: No. 63
- Mass density: 5.57 g/cm³

Unit cell a=6.960 b=6.960 c=5.815 alpha=90.00 beta=90.00 gamma=130.57
Fractional coordinates of all 10 atoms:
La (0.104, 0.896, 0.750)
La (0.896, 0.104, 0.250)
Ag (0.469, 0.531, 0.750)
Ag (0.531, 0.469, 0.250)
Br (0.254, 0.746, 0.250)
Br (0.746, 0.254, 0.750)
O (0.227, 0.227, 0.000)
O (0.227, 0.227, 0.500)
O (0.773, 0.773, 0.000)
O (0.773, 0.773, 0.500)

---

[4]
ReAgOs: relaxed, GGA-PBE.

Properties
- VASP energy: -99.26 eV for the cell shown
- Spin magnetization: 0.0 μB/cell
- Energy of formation from the pure elements: 0.571 eV per atom
- SG: No. 42
- Mass density: 16.76 g/cm³

Unit cell a=2.853 b=4.622 c=14.557 alpha=90.00 beta=90.00 gamma=90.00
Fractional coordinates of all 12 atoms:
Re (0.000, 0.000, 0.000)
Re (0.000, 0.500, 0.500)
Re (0.500, 0.000, 0.500)
Re (0.500, 0.500, 0.000)
Ag (0.000, 0.000, 0.676)
Ag (0.000, 0.500, 0.176)
Ag (0.500, 0.000, 0.176)
Ag (0.500, 0.500, 0.676)
Os (0.000, 0.000, 0.352)
Os (0.000, 0.500, 0.852)
Os (0.500, 0.000, 0.852)
Os (0.500, 0.500, 0.352)

---

[5]
BaLa2Al2: relaxed, GGA-PBE.

Properties
- VASP energy: -39.50 eV for the cell shown
- Spin magnetization: 0.0 μB/cell
- Energy of formation from the pure elements: -0.097 eV per atom
- SG: No. 139
- Mass density: 4.50 g/cm³

Unit cell a=5.069 b=5.069 c=13.481 alpha=90.00 beta=90.00 gamma=90.00
Fractional coordinates of all 10 atoms:
Ba (0.000, 0.000, 0.000)
Ba (0.500, 0.500, 0.500)
La (0.000, 0.500, 0.250)
La (0.000, 0.500, 0.750)
La (0.500, 0.000, 0.250)
La (0.500, 0.000, 0.750)
Al (0.000, 0.000, 0.402)
Al (0.000, 0.000, 0.598)
Al (0.500, 0.500, 0.098)
Al (0.500, 0.500, 0.902)

---

[6]
Si3Sb: relaxed, GGA-PBE.

Properties
- VASP energy: -35.50 eV for the cell shown
- Spin magnetization: 0.0 μB/cell
- Uncorrected formation energy: 0.6609 eV/atom
- SG: No. 139
- Mass density: 4.54 g/cm³

Unit cell a=3.872 b=3.872 c=10.063 alpha=90.00 beta=90.00 gamma=90.00
Fractional coordinates of all 8 atoms:
Si (0.000, 0.000, 0.000)
Si (0.000, 0.500, 0.250)
Si (0.000, 0.500, 0.750)
Si (0.500, 0.000, 0.250)
Si (0.500, 0.000, 0.750)
Si (0.500, 0.500, 0.500)
Sb (0.000, 0.000, 0.500)
Sb (0.500, 0.500, 0.000)

---

[7]
Tb4MgAgHg2: relaxed, GGA-PBE.

Properties
- VASP energy: -26.38 eV for the cell shown
- Spin magnetization: 0.0 μB/cell
- Energy of formation from the pure elements: -0.351 eV per atom
- SG: No. 166
- Mass density: 9.40 g/cm³

Unit cell a=9.143 b=9.143 c=9.143 alpha=33.42 beta=33.42 gamma=33.42
Fractional coordinates of all 8 atoms:
Tb (0.120, 0.120, 0.120)
Tb (0.371, 0.371, 0.371)
Tb (0.629, 0.629, 0.629)
Tb (0.880, 0.880, 0.880)
Mg (0.500, 0.500, 0.500)
Ag (0.000, 0.000, 0.000)
Hg (0.241, 0.241, 0.241)
Hg (0.759, 0.759, 0.759)

---

[8]
CuSi2Ru: relaxed, GGA-PBE.

Properties
- VASP energy: -50.04 eV for the cell shown
- Spin magnetization: 0.0 μB/cell
- Uncorrected formation energy: -0.2005 eV/atom
- SG: No. 8
- Mass density: 7.06 g/cm³

Unit cell a=8.553 b=3.032 c=4.133 alpha=90.00 beta=104.33 gamma=90.00
Fractional coordinates of all 8 atoms:
Cu (0.000, 0.000, 0.000)
Cu (0.500, 0.500, 0.000)
Si (0.246, 0.500, 0.143)
Si (0.492, 0.000, 0.492)
Si (0.746, 0.000, 0.143)
Si (0.992, 0.500, 0.492)
Ru (0.223, 0.000, 0.623)
Ru (0.723, 0.500, 0.623)

---

Q: Which value of spin magnetization does entry 8 give?
A: 0.0 μB/cell